Tm5AgS8, relaxed, DFT PBE-GGA; symmetry = F-43m; V = 25.1 A^3/atom; ΔE_f (raw) = -25.68 eV/f.u.
1.0
-1.132 3.035 7.233
5.828 4.012 3.570
-0.598 7.844 0.957
Tm Ag S
5 1 8
direct
0.000 0.000 0.000
0.621 0.621 0.138
0.621 0.621 0.621
0.138 0.621 0.621
0.621 0.138 0.621
0.250 0.250 0.250
0.383 0.850 0.383
0.850 0.383 0.383
0.383 0.383 0.383
0.383 0.383 0.850
0.867 0.867 0.400
0.400 0.867 0.867
0.867 0.867 0.867
0.867 0.400 0.867

***

Tm2AgS4, relaxed, DFT PBE-GGA; symmetry = I4_1/amd; V = 24.5 A^3/atom; relative energy among the computed polymorphs = 0.0 meV/atom; ΔE_f (raw) = -9.86 eV/f.u.
1.0
-4.433 -4.092 5.033
6.164 -0.757 4.811
-0.561 2.279 7.494
Tm Ag S
4 2 8
direct
0.500 0.500 0.500
0.500 0.000 0.500
0.000 0.000 0.000
0.500 0.000 0.000
0.875 0.625 0.750
0.125 0.375 0.250
0.257 0.772 0.986
0.743 0.228 0.014
0.272 0.757 0.486
0.258 0.243 0.514
0.257 0.242 0.986
0.742 0.757 0.486
0.728 0.243 0.514
0.743 0.758 0.014

***

YTm4AgS8, relaxed, DFT PBE-GGA; symmetry = R3m; V = 25.4 A^3/atom; ΔE_f (raw) = -25.66 eV/f.u.
1.0
7.930 0.000 0.000
3.965 6.868 0.000
3.965 2.289 6.517
Y Tm Ag S
1 4 1 8
direct
0.004 0.004 0.987
0.626 0.626 0.123
0.004 0.487 0.504
0.487 0.004 0.504
0.004 0.004 0.504
0.374 0.374 0.878
0.244 0.774 0.738
0.774 0.244 0.738
0.244 0.244 0.738
0.242 0.242 0.275
0.756 0.226 0.262
0.226 0.756 0.262
0.756 0.756 0.262
0.759 0.759 0.724

***

YTmAg2S4, relaxed, DFT PBE-GGA; symmetry = P2/m; V = 21.4 A^3/atom; ΔE_f (raw) = -10.25 eV/f.u.
1.0
3.988 0.000 0.000
0.000 6.685 0.055
0.000 2.541 6.452
Y Tm Ag S
1 1 2 4
direct
0.500 0.500 0.000
0.000 0.500 0.500
0.000 0.000 0.000
0.500 0.000 0.500
0.000 0.738 0.744
0.000 0.262 0.256
0.500 0.738 0.251
0.500 0.262 0.749

***

UAgS2, relaxed, DFT PBE-GGA; symmetry = Cmcm; V = 22.2 A^3/atom; ΔE_f (raw) = -3.48 eV/f.u.
1.0
-2.434 -0.325 -2.607
3.095 -0.388 -2.841
1.148 -11.496 2.823
U Ag S
2 2 4
direct
0.319 0.250 0.638
0.681 0.750 0.362
0.039 0.250 0.078
0.961 0.750 0.922
0.201 0.250 0.403
0.799 0.750 0.597
0.908 0.250 0.815
0.092 0.750 0.185

***

UAg5S6, relaxed, DFT PBE-GGA; symmetry = C2/m; V = 20.0 A^3/atom; ΔE_f (raw) = -4.58 eV/f.u.
1.0
6.622 0.334 0.000
2.173 6.557 0.000
1.087 3.279 5.633
U Ag S
1 5 6
direct
0.000 0.000 0.000
0.500 0.139 0.722
0.000 0.317 0.365
0.500 0.500 0.000
0.000 0.683 0.635
0.500 0.861 0.278
0.733 0.066 0.321
0.267 0.613 0.321
0.194 0.272 0.000
0.806 0.728 0.000
0.733 0.387 0.679
0.267 0.934 0.679

***

U3Ag3S8, relaxed, DFT PBE-GGA; symmetry = R-3m; V = 24.7 A^3/atom; ΔE_f (raw) = -12.89 eV/f.u.
1.0
1.349 -0.768 7.523
-0.084 -7.163 2.774
6.800 -2.984 1.966
U Ag S
3 3 8
direct
0.500 0.000 0.000
0.000 0.500 0.000
0.000 0.000 0.500
0.385 0.385 0.385
0.615 0.615 0.615
0.000 0.000 0.000
0.757 0.757 0.757
0.225 0.750 0.750
0.750 0.225 0.750
0.750 0.750 0.225
0.243 0.243 0.243
0.775 0.250 0.250
0.250 0.775 0.250
0.250 0.250 0.775

***

U2AgS6, relaxed, DFT PBE-GGA; symmetry = P4_2/mnm; V = 25.3 A^3/atom; ΔE_f (raw) = -8.17 eV/f.u.
1.0
-4.438 -3.012 3.405
3.960 -4.899 0.827
3.965 4.791 9.406
U Ag S
4 2 12
direct
0.000 0.000 0.324
0.500 0.500 0.824
0.500 0.500 0.176
0.000 0.000 0.676
0.000 0.000 0.000
0.500 0.500 0.500
0.292 0.292 0.333
0.708 0.708 0.333
0.208 0.792 0.833
0.792 0.208 0.833
0.208 0.792 0.167
0.792 0.208 0.167
0.292 0.292 0.667
0.708 0.708 0.667
0.319 0.319 0.000
0.681 0.681 0.000
0.181 0.819 0.500
0.819 0.181 0.500